! SiNi2Au | Alexandria via LeMat-Bulk | PBE-GGA | optimized geometry; values from VASP
! E_tot, eV per atom: -5.22
! Calculated density, kg/m³: 10712
! Formation energy from raw total energies, kcal/mol of atoms: -3.63
! Total magnetization, μB/cell: 0.00
&SYSTEM
  ibrav = 0, nat = 4, ntyp = 3
/
ATOMIC_SPECIES
Si 28.09 Si.upf
Ni 58.69 Ni.upf
Au 196.97 Au.upf
CELL_PARAMETERS angstrom
1.386 0.800 7.974
-1.386 0.800 7.974
0.000 -1.601 7.974
ATOMIC_POSITIONS crystal
Si 0.000 0.000 0.000
Ni 0.262 0.262 0.262
Ni 0.738 0.738 0.738
Au 0.500 0.500 0.500

! Cd5Ag8Pd | Alexandria via LeMat-Bulk | PBE-GGA | optimized geometry; values from VASP
! E_tot, eV per atom: -2.27
! Calculated formation energy, eV/atom: 0.0561
! Calculated density, kg/m³: 9136
! Total magnetization, μB/cell: 0.00
&SYSTEM
  ibrav = 0, nat = 14, ntyp = 3
/
ATOMIC_SPECIES
Cd 112.41 Cd.upf
Ag 107.87 Ag.upf
Pd 106.42 Pd.upf
CELL_PARAMETERS angstrom
-4.114 4.114 4.111
4.114 -4.114 4.111
4.114 4.114 -4.111
ATOMIC_POSITIONS crystal
Cd 0.000 0.000 0.000
Cd 0.189 0.287 0.677
Cd 0.488 0.811 0.098
Cd 0.610 0.512 0.323
Cd 0.713 0.390 0.902
Ag 0.154 0.447 0.081
Ag 0.366 0.073 0.919
Ag 0.404 0.132 0.403
Ag 0.553 0.634 0.707
Ag 0.728 0.001 0.597
Ag 0.868 0.272 0.273
Ag 0.927 0.846 0.293
Ag 0.999 0.596 0.727
Pd 0.250 0.750 0.500

! Ca2Ga3Ge | Alexandria via LeMat-Bulk | PBE-GGA | optimized geometry; values from VASP
! E_tot, eV per atom: -3.46
! Calculated formation energy, eV/atom: -0.5051
! Calculated density, kg/m³: 4340
! Total magnetization, μB/cell: 0.00
&SYSTEM
  ibrav = 0, nat = 6, ntyp = 3
/
ATOMIC_SPECIES
Ca 40.08 Ca.upf
Ga 69.72 Ga.upf
Ge 72.64 Ge.upf
CELL_PARAMETERS angstrom
4.275 0.000 0.000
0.000 4.416 0.000
0.000 0.000 7.336
ATOMIC_POSITIONS crystal
Ca 0.000 0.000 0.000
Ca 0.500 0.000 0.494
Ga 0.000 0.500 0.335
Ga 0.000 0.500 0.668
Ga 0.500 0.500 0.825
Ge 0.500 0.500 0.162

! LaNd2ErTm2 | Alexandria via LeMat-Bulk | PBE-GGA | optimized geometry; values from VASP
! E_tot, eV per atom: -4.60
! Calculated formation energy, eV/atom: 0.0661
! Calculated density, kg/m³: 7844
! Total magnetization, μB/cell: 0.00
&SYSTEM
  ibrav = 0, nat = 12, ntyp = 4
/
ATOMIC_SPECIES
La 138.91 La.upf
Nd 144.24 Nd.upf
Er 167.26 Er.upf
Tm 168.93 Tm.upf
CELL_PARAMETERS angstrom
7.041 0.000 0.000
0.000 9.888 0.000
0.000 0.000 5.671
ATOMIC_POSITIONS crystal
La 0.000 0.000 0.000
La 0.500 0.500 0.500
Nd 0.245 0.333 0.000
Nd 0.255 0.833 0.500
Nd 0.745 0.167 0.500
Nd 0.755 0.667 0.000
Er 0.000 0.500 0.500
Er 0.500 0.000 0.000
Tm 0.249 0.167 0.500
Tm 0.251 0.667 0.000
Tm 0.749 0.333 0.000
Tm 0.751 0.833 0.500

! In4Ag5 | Alexandria via LeMat-Bulk | PBE-GGA | optimized geometry; values from VASP
! E_tot, eV per atom: -2.79
! Calculated formation energy, eV/atom: 0.0158
! Calculated density, kg/m³: 8858
! Total magnetization, μB/cell: 0.00
&SYSTEM
  ibrav = 0, nat = 9, ntyp = 2
/
ATOMIC_SPECIES
In 114.82 In.upf
Ag 107.87 Ag.upf
CELL_PARAMETERS angstrom
-4.668 4.668 2.148
4.668 -4.668 2.148
4.668 4.668 -2.148
ATOMIC_POSITIONS crystal
In 0.000 0.317 0.317
In 0.000 0.683 0.683
In 0.317 0.000 0.317
In 0.683 0.000 0.683
Ag 0.000 0.000 0.000
Ag 0.337 0.337 0.674
Ag 0.337 0.663 0.000
Ag 0.663 0.337 0.000
Ag 0.663 0.663 0.326

! Ag2RuRh | Alexandria via LeMat-Bulk | PBE-GGA | optimized geometry; values from VASP
! E_tot, eV per atom: -4.58
! Calculated formation energy, eV/atom: 1.0016
! Calculated density, kg/m³: 9917
! Total magnetization, μB/cell: 0.00
&SYSTEM
  ibrav = 0, nat = 8, ntyp = 3
/
ATOMIC_SPECIES
Ag 107.87 Ag.upf
Ru 101.07 Ru.upf
Rh 102.91 Rh.upf
CELL_PARAMETERS angstrom
-3.693 3.693 2.576
3.693 -3.693 2.576
3.693 3.693 -2.576
ATOMIC_POSITIONS crystal
Ag 0.124 0.625 0.999
Ag 0.375 0.374 0.499
Ag 0.626 0.125 0.001
Ag 0.875 0.876 0.501
Ru 0.000 0.000 0.000
Ru 0.750 0.250 0.500
Rh 0.250 0.750 0.500
Rh 0.500 0.500 0.000

! BeCdHg2 | Alexandria via LeMat-Bulk | PBE-GGA | optimized geometry; values from VASP
! E_tot, eV per atom: -1.06
! Calculated formation energy, eV/atom: 0.2465
! Calculated density, kg/m³: 10359
! Total magnetization, μB/cell: 0.00
&SYSTEM
  ibrav = 0, nat = 4, ntyp = 3
/
ATOMIC_SPECIES
Be 9.01 Be.upf
Cd 112.41 Cd.upf
Hg 200.59 Hg.upf
CELL_PARAMETERS angstrom
4.420 -1.563 0.000
4.420 1.563 0.000
-2.288 0.000 6.063
ATOMIC_POSITIONS crystal
Be 0.000 0.000 0.000
Cd 0.353 0.353 0.637
Hg 0.545 0.545 0.338
Hg 0.712 0.712 0.957

! LaTeMo2 | Alexandria via LeMat-Bulk | PBE-GGA | optimized geometry; values from VASP
! E_tot, eV per atom: -7.26
! Calculated density, kg/m³: 8810
! Formation energy from raw total energies, kcal/mol of atoms: 3.96
! Total magnetization, μB/cell: 0.00
&SYSTEM
  ibrav = 0, nat = 4, ntyp = 3
/
ATOMIC_SPECIES
La 138.91 La.upf
Te 127.60 Te.upf
Mo 95.94 Mo.upf
CELL_PARAMETERS angstrom
3.492 0.000 0.000
0.000 4.729 0.000
-1.391 0.000 5.232
ATOMIC_POSITIONS crystal
La 0.000 0.000 0.000
Te 0.394 0.500 0.761
Mo 0.415 0.000 0.476
Mo 0.724 0.500 0.343

- What is the total magnetization in the fourth record?
  0.00 μB/cell